Material: VPSO2
Method: DFT, GGA+U
State: relaxed

a b c (Å): 3.6395 3.6395 4.7034
angles (deg): 90.00 90.00 90.00
With the nearest neighbours (Å) after each atom.
Space group P4/mmm (No. 123)
Symmetry-distinct sites (fractional):
1 V 0.0000 0.0000 0.0000 x1  4 P 2.57
2 P 0.5000 0.5000 0.0000 x1  2 S 2.35, 4 V 2.57
3 S 0.5000 0.5000 0.5000 x1  4 O 1.82
4 O 0.0000 0.5000 0.5000 x2  2 S 1.82

Output
* electronic total energy: -26.35 eV for the cell shown
* magnetic moment: 2.08 μB per formula unit
* crystal system: tetragonal
* calculated density: 3891 kg/m3